This record from Alexandria via LeMat-Bulk describes TaNi4W at its PBEsol-relaxed geometry. The functional is SCAN.

Calculated values
Calculated formation energy: -0.63 eV per formula unit
Calculated volume: 12.141 Å³ per atom
Calculated density: 13668 kg/m3
Crystal system: cubic
E_tot: -806.4 eV/cell

Unit cell a=6.630 b=6.630 c=6.630 alpha=90.00 beta=90.00 gamma=90.00
Space group F-43m (No. 216)
Symmetry-distinct sites (fractional):
Ta 0.000 0.000 0.000
Ni 0.125 0.125 0.375
W 0.250 0.250 0.750